(1)
First-principles (GGA-PBEsol) data for a geometry-optimized TcPt2Rh structure, as listed in Alexandria.

Cell: 2.7037 2.7037 7.8186 Å, 90.00 90.00 90.00°
Fractional positions:
Tc (0.0000, 0.0000, 0.0000)
Pt (0.0000, 0.0000, 0.5126)
Pt (0.5000, 0.5000, 0.2458)
Rh (0.5000, 0.5000, 0.7692)

Summary:
The value obtained for the total energy is -34.0 eV per cell. As for the total moment: 0.000 μB/cell. Its density is 17.2 g/cm3.

(2)
First-principles (GGA-PBEsol) data for a geometry-optimized TcPtRh2 structure, as listed in Alexandria.

Cell: 8.9657 2.6780 4.6877 Å, 90.00 99.68 90.00°
Fractional positions:
Tc (0.0000, 0.0000, 0.0000)
Tc (0.5000, 0.5000, 0.0000)
Pt (0.0000, 0.5000, 0.5000)
Pt (0.5000, 0.0000, 0.5000)
Rh (0.2466, 0.5000, 0.2418)
Rh (0.2534, 0.0000, 0.7582)
Rh (0.7466, 0.0000, 0.2418)
Rh (0.7534, 0.5000, 0.7582)

Summary:
The value obtained for the total energy is -69.9 eV per cell. As for the total moment: 0.001 μB/cell. Its density is 14.9 g/cm3.

(3)
First-principles (GGA-PBEsol) data for a geometry-optimized TcPtRh2 structure, as listed in Alexandria.

Cell: 3.7922 3.7922 7.7062 Å, 90.00 90.00 90.00°
Fractional positions:
Tc (0.0000, 0.0000, 0.0000)
Tc (0.5000, 0.5000, 0.5000)
Pt (0.0000, 0.5000, 0.7500)
Pt (0.5000, 0.0000, 0.2500)
Rh (0.0000, 0.0000, 0.5000)
Rh (0.0000, 0.5000, 0.2500)
Rh (0.5000, 0.0000, 0.7500)
Rh (0.5000, 0.5000, 0.0000)

Summary:
The value obtained for the total energy is -69.8 eV per cell. As for the total moment: 0.000 μB/cell. Its density is 15.0 g/cm3.

(4)
First-principles (GGA-PBEsol) data for a geometry-optimized TcPtRh2 structure, as listed in Alexandria.

Cell: 3.8112 3.8112 7.6352 Å, 90.00 90.00 90.00°
Fractional positions:
Tc (0.0000, 0.0000, 0.0000)
Tc (0.5000, 0.5000, 0.5000)
Pt (0.0000, 0.0000, 0.5000)
Pt (0.5000, 0.5000, 0.0000)
Rh (0.0000, 0.5000, 0.2500)
Rh (0.0000, 0.5000, 0.7500)
Rh (0.5000, 0.0000, 0.2500)
Rh (0.5000, 0.0000, 0.7500)

Summary:
The value obtained for the total energy is -69.9 eV per cell. As for the total moment: 0.001 μB/cell. Its density is 14.9 g/cm3.

no.,formation energy from the elements (meV/atom)
1,-164
2,-111
3,-95
4,-106